Record 1
DFT (PBE-GGA) results for a relaxed Na3TiCr2Te6 crystal.

Crystal system: monoclinic
Formation energy from raw total energies in eV per atom: -0.5794
Total moment in μB per cell: 14.0

Cell and atoms, written as CIF:
```
data_Na3TiCr2Te6
_space_group_name_H-M_alt 'C 1 2/m 1'
_space_group_IT_number 12
_cell_length_a 7.077
_cell_length_b 12.264
_cell_length_c 7.824
_cell_angle_alpha 90.00
_cell_angle_beta 107.55
_cell_angle_gamma 90.00
loop_
_space_group_symop_operation_xyz
'x,y,z'
'-x,-y,-z'
'-x,y,-z'
'x,-y,z'
'x+1/2,y+1/2,z'
'-x+1/2,-y+1/2,-z'
'-x+1/2,y+1/2,-z'
'x+1/2,-y+1/2,z'
loop_
_atom_site_label
_atom_site_type_symbol
_atom_site_fract_x
_atom_site_fract_y
_atom_site_fract_z
Na1 Na 0.000 0.000 0.000
Na2 Na 0.000 0.334 0.000
Ti1 Ti 0.000 0.500 0.500
Cr1 Cr 0.000 0.167 0.500
Te1 Te 0.229 0.000 0.703
Te2 Te 0.237 0.331 0.703
```

Record 2
DFT (PBE-GGA) results for a relaxed Na2TiCrTe4 crystal.

Crystal system: monoclinic
Formation energy from raw total energies in eV per atom: -0.6343
Total moment in μB per cell: 4.0

Cell and atoms, written as CIF:
```
data_Na2TiCrTe4
_space_group_name_H-M_alt 'P 1 2/m 1'
_space_group_IT_number 10
_cell_length_a 7.125
_cell_length_b 4.067
_cell_length_c 7.821
_cell_angle_alpha 90.00
_cell_angle_beta 107.30
_cell_angle_gamma 90.00
loop_
_space_group_symop_operation_xyz
'x,y,z'
'-x,-y,-z'
'-x,y,-z'
'x,-y,z'
loop_
_atom_site_label
_atom_site_type_symbol
_atom_site_fract_x
_atom_site_fract_y
_atom_site_fract_z
Na1 Na 0.000 0.000 0.000
Na2 Na 0.500 0.500 0.000
Ti1 Ti 0.000 0.500 0.500
Cr1 Cr 0.500 0.000 0.500
Te1 Te 0.240 0.000 0.707
Te2 Te 0.269 0.500 0.297
```

Record 3
DFT (PBE-GGA) results for a relaxed Na2Ti2CrTe6 crystal.

Crystal system: monoclinic
Formation energy from raw total energies in eV per atom: -0.6468
Total moment in μB per cell: 8.3

Cell and atoms, written as CIF:
```
data_Na2Ti2CrTe6
_space_group_name_H-M_alt 'C 1 2/m 1'
_space_group_IT_number 12
_cell_length_a 6.828
_cell_length_b 11.849
_cell_length_c 8.138
_cell_angle_alpha 90.00
_cell_angle_beta 106.49
_cell_angle_gamma 90.00
loop_
_space_group_symop_operation_xyz
'x,y,z'
'-x,-y,-z'
'-x,y,-z'
'x,-y,z'
'x+1/2,y+1/2,z'
'-x+1/2,-y+1/2,-z'
'-x+1/2,y+1/2,-z'
'x+1/2,-y+1/2,z'
loop_
_atom_site_label
_atom_site_type_symbol
_atom_site_fract_x
_atom_site_fract_y
_atom_site_fract_z
Na1 Na 0.000 0.168 0.000
Ti1 Ti 0.000 0.332 0.500
Cr1 Cr 0.000 0.000 0.500
Te1 Te 0.235 0.163 0.708
Te2 Te 0.241 0.500 0.706
```

Record 4
DFT (PBE-GGA) results for a relaxed Na3Ti2CrTe6 crystal.

Crystal system: monoclinic
Formation energy from raw total energies in eV per atom: -0.6785
Total moment in μB per cell: 10.0

Cell and atoms, written as CIF:
```
data_Na3Ti2CrTe6
_space_group_name_H-M_alt 'C 1 2/m 1'
_space_group_IT_number 12
_cell_length_a 7.075
_cell_length_b 12.226
_cell_length_c 7.873
_cell_angle_alpha 90.00
_cell_angle_beta 107.37
_cell_angle_gamma 90.00
loop_
_space_group_symop_operation_xyz
'x,y,z'
'-x,-y,-z'
'-x,y,-z'
'x,-y,z'
'x+1/2,y+1/2,z'
'-x+1/2,-y+1/2,-z'
'-x+1/2,y+1/2,-z'
'x+1/2,-y+1/2,z'
loop_
_atom_site_label
_atom_site_type_symbol
_atom_site_fract_x
_atom_site_fract_y
_atom_site_fract_z
Na1 Na 0.000 0.000 0.000
Na2 Na 0.000 0.330 0.000
Ti1 Ti 0.000 0.163 0.500
Cr1 Cr 0.000 0.500 0.500
Te1 Te 0.232 0.336 0.706
Te2 Te 0.245 0.000 0.710
```

Record 5
DFT (PBE-GGA) results for a relaxed Na3UCr2Te6 crystal.

Crystal system: monoclinic
Formation energy from raw total energies in eV per atom: -0.5930
Total moment in μB per cell: 18.0

Cell and atoms, written as CIF:
```
data_Na3UCr2Te6
_space_group_name_H-M_alt 'C 1 2/m 1'
_space_group_IT_number 12
_cell_length_a 7.237
_cell_length_b 12.519
_cell_length_c 7.953
_cell_angle_alpha 90.00
_cell_angle_beta 107.69
_cell_angle_gamma 90.00
loop_
_space_group_symop_operation_xyz
'x,y,z'
'-x,-y,-z'
'-x,y,-z'
'x,-y,z'
'x+1/2,y+1/2,z'
'-x+1/2,-y+1/2,-z'
'-x+1/2,y+1/2,-z'
'x+1/2,-y+1/2,z'
loop_
_atom_site_label
_atom_site_type_symbol
_atom_site_fract_x
_atom_site_fract_y
_atom_site_fract_z
Na1 Na 0.000 0.000 0.000
Na2 Na 0.000 0.342 0.000
U1 U 0.000 0.500 0.500
Cr1 Cr 0.000 0.168 0.500
Te1 Te 0.214 0.000 0.713
Te2 Te 0.250 0.179 0.285
```

Record 6
DFT (PBE-GGA) results for a relaxed Na3VCr2Te6 crystal.

Crystal system: monoclinic
Formation energy from raw total energies in eV per atom: -0.5066
Total moment in μB per cell: 16.1

Cell and atoms, written as CIF:
```
data_Na3VCr2Te6
_space_group_name_H-M_alt 'C 1 2/m 1'
_space_group_IT_number 12
_cell_length_a 7.032
_cell_length_b 12.190
_cell_length_c 7.818
_cell_angle_alpha 90.00
_cell_angle_beta 107.46
_cell_angle_gamma 90.00
loop_
_space_group_symop_operation_xyz
'x,y,z'
'-x,-y,-z'
'-x,y,-z'
'x,-y,z'
'x+1/2,y+1/2,z'
'-x+1/2,-y+1/2,-z'
'-x+1/2,y+1/2,-z'
'x+1/2,-y+1/2,z'
loop_
_atom_site_label
_atom_site_type_symbol
_atom_site_fract_x
_atom_site_fract_y
_atom_site_fract_z
Na1 Na 0.000 0.000 0.000
Na2 Na 0.000 0.333 0.000
V1 V 0.000 0.500 0.500
Cr1 Cr 0.000 0.167 0.500
Te1 Te 0.231 0.000 0.701
Te2 Te 0.235 0.332 0.700
```

Repeat the second record exactly.
DFT (PBE-GGA) results for a relaxed Na2TiCrTe4 crystal.

Crystal system: monoclinic
Formation energy from raw total energies in eV per atom: -0.6343
Total moment in μB per cell: 4.0

Cell and atoms, written as CIF:
```
data_Na2TiCrTe4
_space_group_name_H-M_alt 'P 1 2/m 1'
_space_group_IT_number 10
_cell_length_a 7.125
_cell_length_b 4.067
_cell_length_c 7.821
_cell_angle_alpha 90.00
_cell_angle_beta 107.30
_cell_angle_gamma 90.00
loop_
_space_group_symop_operation_xyz
'x,y,z'
'-x,-y,-z'
'-x,y,-z'
'x,-y,z'
loop_
_atom_site_label
_atom_site_type_symbol
_atom_site_fract_x
_atom_site_fract_y
_atom_site_fract_z
Na1 Na 0.000 0.000 0.000
Na2 Na 0.500 0.500 0.000
Ti1 Ti 0.000 0.500 0.500
Cr1 Cr 0.500 0.000 0.500
Te1 Te 0.240 0.000 0.707
Te2 Te 0.269 0.500 0.297
```

What is the formula in the second record?
Na2TiCrTe4

Look up the total moment of the first one.
14.0 μB per cell